Entry 1:
{
  "formula": "TiBeF2",
  "functional": "PBE",
  "state": "optimized geometry",
  "spacegroup": "R-3m (166)",
  "rho_g_cm3": 2.73,
  "formation_energy_uncorrected_ev_per_atom": -1.746,
  "e_above_lowest_polymorph_ev_per_atom": 0.000,
  "lattice_angstrom": [[9.755, 0.142, 0.083], [9.363, 2.743, 0.083], [9.363, 1.413, 2.353]],
  "species": ["Be", "F", "F", "Ti"],
  "fractional_positions": [[0.500, 0.500, 0.500], [0.864, 0.864, 0.864], [0.136, 0.136, 0.136], [0.000, 0.000, 0.000]]
}

---

Entry 2:
{
  "formula": "K2Na2Tl5In2",
  "functional": "PBE",
  "state": "optimized geometry",
  "spacegroup": "I4/mmm (139)",
  "rho_g_cm3": 4.55,
  "formation_energy_ev_per_fu": 1.56,
  "lattice_angstrom": [[5.434, 0.000, 0.000], [0.000, 5.434, 0.000], [-2.717, -2.717, 16.988]],
  "species": ["In", "Tl", "Tl", "Na", "K", "Na", "K", "Tl", "Tl", "Tl", "In"],
  "fractional_positions": [[0.914, 0.914, 0.829], [0.000, 0.000, 0.000], [0.125, 0.625, 0.250], [0.679, 0.679, 0.358], [0.202, 0.202, 0.404], [0.321, 0.321, 0.642], [0.798, 0.798, 0.596], [0.375, 0.875, 0.750], [0.875, 0.375, 0.750], [0.625, 0.125, 0.250], [0.086, 0.086, 0.171]]
}

---

Entry 3:
{
  "formula": "Rb2Se2S",
  "functional": "PBE",
  "state": "optimized geometry",
  "spacegroup": "I4/mmm (139)",
  "rho_g_cm3": 3.82,
  "formation_energy_uncorrected_ev_per_atom": -0.590,
  "e_above_lowest_polymorph_ev_per_atom": 0.105,
  "lattice_angstrom": [[-3.455, 1.276, -1.377], [-1.236, -3.717, -0.342], [-5.997, -0.877, 8.616]],
  "species": ["S", "Se", "Rb", "Rb", "Se"],
  "fractional_positions": [[0.000, 0.000, 0.000], [0.250, 0.750, 0.500], [0.594, 0.594, 0.811], [0.406, 0.406, 0.189], [0.750, 0.250, 0.500]]
}

---

Entry 4:
{
  "formula": "NpAsS",
  "functional": "PBE",
  "state": "optimized geometry",
  "spacegroup": "P4/nmm (129)",
  "rho_g_cm3": 9.42,
  "formation_energy_uncorrected_ev_per_atom": -1.113,
  "lattice_angstrom": [[3.863, 0.000, 0.000], [0.000, 3.863, 0.000], [0.000, 0.000, 8.130]],
  "species": ["S", "Np", "Np", "S", "As", "As"],
  "fractional_positions": [[0.500, 0.000, 0.637], [0.500, 0.000, 0.292], [0.000, 0.500, 0.708], [0.000, 0.500, 0.363], [0.000, 0.000, 0.000], [0.500, 0.500, 0.000]]
}

---

Entry 5:
{
  "formula": "K2RbIrF8",
  "functional": "PBE",
  "state": "optimized geometry",
  "spacegroup": "P-3m1 (164)",
  "rho_g_cm3": 3.74,
  "formation_energy_uncorrected_ev_per_atom": -2.073,
  "lattice_angstrom": [[-3.026, 4.287, 1.659], [-1.898, -3.352, -3.930], [-3.696, -4.926, 5.986]],
  "species": ["F", "F", "F", "F", "F", "F", "F", "F", "Ir", "K", "K", "Rb"],
  "fractional_positions": [[0.677, 0.838, 0.137], [0.838, 0.677, 0.863], [0.162, 0.323, 0.137], [0.323, 0.162, 0.863], [0.333, 0.667, 0.480], [0.838, 0.162, 0.863], [0.667, 0.333, 0.520], [0.162, 0.838, 0.137], [0.000, 0.000, 0.000], [0.333, 0.667, 0.769], [0.667, 0.333, 0.231], [0.000, 0.000, 0.500]]
}

---

Entry 6:
{
  "formula": "K5La3Br12",
  "functional": "PBE",
  "state": "optimized geometry",
  "spacegroup": "Ia-3d (230)",
  "rho_g_cm3": 3.30,
  "formation_energy_uncorrected_ev_per_atom": -1.607,
  "lattice_angstrom": [[-5.395, 14.187, -5.124], [3.397, -9.289, -12.602], [-11.239, -7.065, 8.967]],
  "species": ["K", "Br", "K", "Br", "Br", "La", "Br", "K", "Br", "K", "Br", "Br", "Br", "Br", "Br", "Br", "Br", "Br", "Br", "Br", "Br", "La", "La", "K", "Br", "Br", "Br", "K", "Br", "Br", "K", "Br", "Br", "La", "K", "K", "Br", "Br", "K", "K", "Br", "Br", "K", "La", "La", "K", "Br", "K", "Br", "Br", "Br", "Br", "Br", "Br", "Br", "Br", "Br", "Br", "Br", "La", "K", "Br", "K", "La", "Br", "La", "Br", "La", "K", "Br", "Br", "K", "Br", "K", "La", "K", "Br", "Br", "La", "Br"],
  "fractional_positions": [[0.500, 0.500, 0.500], [0.372, 0.436, 0.108], [0.875, 0.625, 0.750], [0.436, 0.065, 0.329], [0.236, 0.671, 0.108], [0.750, 0.875, 0.625], [0.392, 0.264, 0.329], [0.000, 0.000, 0.000], [0.264, 0.392, 0.829], [0.250, 0.375, 0.625], [0.671, 0.236, 0.608], [0.436, 0.372, 0.608], [0.936, 0.829, 0.565], [0.435, 0.671, 0.064], [0.065, 0.628, 0.736], [0.829, 0.892, 0.264], [0.264, 0.872, 0.935], [0.128, 0.736, 0.565], [0.764, 0.329, 0.892], [0.872, 0.608, 0.936], [0.171, 0.064, 0.935], [0.750, 0.375, 0.125], [0.125, 0.250, 0.875], [0.875, 0.250, 0.625], [0.236, 0.565, 0.628], [0.171, 0.108, 0.736], [0.936, 0.108, 0.872], [0.375, 0.250, 0.125], [0.565, 0.236, 0.128], [0.392, 0.128, 0.564], [0.625, 0.750, 0.875], [0.064, 0.171, 0.435], [0.108, 0.171, 0.236], [0.875, 0.125, 0.250], [0.000, 0.500, 0.500], [0.000, 0.500, 0.000], [0.935, 0.372, 0.264], [0.764, 0.435, 0.372], [0.750, 0.625, 0.375], [0.375, 0.125, 0.750], [0.892, 0.829, 0.764], [0.128, 0.392, 0.064], [0.750, 0.125, 0.875], [0.375, 0.750, 0.625], [0.250, 0.125, 0.375], [0.125, 0.375, 0.250], [0.892, 0.064, 0.628], [0.500, 0.500, 0.000], [0.108, 0.936, 0.372], [0.671, 0.435, 0.564], [0.372, 0.935, 0.764], [0.736, 0.128, 0.065], [0.935, 0.564, 0.171], [0.872, 0.264, 0.435], [0.065, 0.436, 0.829], [0.628, 0.564, 0.892], [0.608, 0.736, 0.671], [0.628, 0.065, 0.236], [0.829, 0.936, 0.065], [0.625, 0.250, 0.375], [0.000, 0.000, 0.500], [0.329, 0.565, 0.436], [0.125, 0.750, 0.375], [0.875, 0.750, 0.125], [0.565, 0.329, 0.936], [0.625, 0.375, 0.750], [0.608, 0.872, 0.436], [0.125, 0.875, 0.750], [0.250, 0.875, 0.125], [0.435, 0.764, 0.872], [0.329, 0.764, 0.392], [0.625, 0.875, 0.250], [0.064, 0.892, 0.128], [0.500, 0.000, 0.000], [0.375, 0.625, 0.250], [0.500, 0.000, 0.500], [0.736, 0.608, 0.171], [0.564, 0.935, 0.671], [0.250, 0.625, 0.875], [0.564, 0.628, 0.392]]
}

---

Entry 7:
{
  "formula": "Ac6Pt3Se2Br",
  "functional": "PBE",
  "state": "optimized geometry",
  "spacegroup": "C2/m (12)",
  "rho_g_cm3": 9.21,
  "formation_energy_uncorrected_ev_per_atom": -1.460,
  "lattice_angstrom": [[-3.452, 2.669, 0.454], [-5.628, -7.432, 0.901], [5.007, 1.348, 8.959]],
  "species": ["Ac", "Pt", "Ac", "Ac", "Se", "Br", "Ac", "Pt", "Ac", "Pt", "Ac", "Se"],
  "fractional_positions": [[0.006, 0.723, 0.012], [0.834, 0.167, 0.668], [0.994, 0.277, 0.988], [0.662, 0.597, 0.323], [0.836, 0.671, 0.671], [0.500, 0.000, 0.000], [0.323, 0.929, 0.646], [0.500, 0.500, 0.000], [0.338, 0.403, 0.677], [0.166, 0.833, 0.332], [0.677, 0.071, 0.354], [0.164, 0.329, 0.329]]
}

---

Entry 8:
{
  "formula": "RbNaBr2",
  "functional": "PBE",
  "state": "optimized geometry",
  "spacegroup": "P4/mmm (123)",
  "rho_g_cm3": 3.55,
  "formation_energy_uncorrected_ev_per_atom": -1.524,
  "lattice_angstrom": [[-1.034, 0.777, -3.731], [-1.915, -3.448, -0.188], [-6.707, 3.584, 2.605]],
  "species": ["Rb", "Br", "Br", "Na"],
  "fractional_positions": [[0.500, 0.500, 0.500], [0.000, 0.000, 0.771], [0.000, 0.000, 0.229], [0.500, 0.500, 0.000]]
}

---

Entry 9:
{
  "formula": "MgTi2Mn2",
  "functional": "PBE",
  "state": "optimized geometry",
  "spacegroup": "P4/mbm (127)",
  "rho_g_cm3": 4.85,
  "formation_energy_ev_per_fu": 0.64,
  "e_above_lowest_polymorph_ev_per_atom": 0.094,
  "lattice_angstrom": [[-5.207, 1.945, -4.777], [4.024, -2.716, -5.491], [-1.290, -2.608, 0.344]],
  "species": ["Ti", "Mn", "Ti", "Mn", "Mn", "Mn", "Mg", "Ti", "Ti", "Mg"],
  "fractional_positions": [[0.140, 0.360, 0.000], [0.149, 0.649, 0.500], [0.860, 0.640, 0.000], [0.351, 0.149, 0.500], [0.851, 0.351, 0.500], [0.649, 0.851, 0.500], [0.500, 0.500, 0.000], [0.360, 0.860, 0.000], [0.640, 0.140, 0.000], [0.000, 0.000, 0.000]]
}

---

Entry 10:
{
  "formula": "LiCe2Mg5",
  "functional": "PBE",
  "state": "optimized geometry",
  "spacegroup": "I4/mmm (139)",
  "rho_g_cm3": 3.56,
  "formation_energy_ev_per_fu": -0.03,
  "lattice_angstrom": [[-3.638, -2.650, 0.176], [2.513, -3.337, 1.687], [-1.236, 6.042, 7.775]],
  "species": ["Mg", "Ce", "Mg", "Mg", "Mg", "Mg", "Li", "Ce"],
  "fractional_positions": [[0.387, 0.887, 0.774], [0.750, 0.750, 0.499], [0.113, 0.613, 0.226], [0.500, 0.500, 0.000], [0.887, 0.387, 0.774], [0.613, 0.113, 0.226], [0.000, 0.000, 0.000], [0.250, 0.250, 0.501]]
}

---

Entry 11:
{
  "formula": "CrCd2AsAu",
  "functional": "PBE",
  "state": "optimized geometry",
  "spacegroup": "P4/mmm (123)",
  "rho_g_cm3": 6.63,
  "formation_energy_ev_per_fu": 3.63,
  "lattice_angstrom": [[5.273, 0.000, 0.000], [0.000, 4.939, 0.000], [0.000, 0.000, 5.273]],
  "species": ["As", "Cd", "Au", "Cr", "Cd"],
  "fractional_positions": [[0.000, 0.000, 0.000], [0.500, 0.000, 0.000], [0.000, 0.500, 0.000], [0.500, 0.500, 0.500], [0.000, 0.000, 0.500]]
}

---

Entry 12:
{
  "formula": "Ca2LaRh9",
  "functional": "PBE",
  "state": "optimized geometry",
  "spacegroup": "R-3m (166)",
  "rho_g_cm3": 8.83,
  "formation_energy_ev_per_fu": -4.50,
  "lattice_angstrom": [[5.104, 0.000, 1.519], [2.326, 4.543, 1.519], [0.013, 0.008, 9.291]],
  "species": ["Ca", "Rh", "Rh", "Rh", "Rh", "Ca", "Rh", "Rh", "La", "Rh", "Rh", "Rh"],
  "fractional_positions": [[0.141, 0.141, 0.577], [0.418, 0.418, 0.247], [0.418, 0.917, 0.247], [0.500, 0.500, 0.500], [0.083, 0.582, 0.753], [0.859, 0.859, 0.423], [0.333, 0.333, 0.001], [0.917, 0.418, 0.247], [0.000, 0.000, 0.000], [0.582, 0.582, 0.753], [0.582, 0.083, 0.753], [0.667, 0.667, 0.999]]
}